Crystalline ZnTc2SnMo at its relaxed geometry. Source: Alexandria via LeMat-Bulk, functional GGA-PBE.

The structure in CIF format:
```
data_ZnTc2SnMo
_chemical_formula_sum 'Zn1 Tc2 Sn1 Mo1'
_symmetry_space_group_name_H-M 'P 1'
_symmetry_Int_Tables_number 1
_cell_length_a 4.873
_cell_length_b 4.631
_cell_length_c 4.873
_cell_angle_alpha 90.00
_cell_angle_beta 90.00
_cell_angle_gamma 90.00
loop_
_symmetry_equiv_pos_as_xyz
'x,y,z'
loop_
_atom_site_label
_atom_site_fract_x
_atom_site_fract_y
_atom_site_fract_z
Zn1 0.000 0.500 0.000
Tc1 0.500 0.000 0.000
Tc2 0.000 0.000 0.500
Mo1 0.500 0.500 0.500
Sn1 0.000 0.000 0.000
```

Values from the calculation:
Energy: -5.26 eV/atom
Volume: 110 Å³/cell
Formation energy from the elements: 2103 meV per atom
Theoretical density: 7.189 g/cm³
Excess energy over the best structure of this formula in the dataset: 0.438 eV/atom

---

Crystalline InGaTe2O at its relaxed geometry. Source: Alexandria via LeMat-Bulk, functional GGA-PBE.

The structure in CIF format:
```
data_InGaTe2O
_chemical_formula_sum 'In1 Ga1 Te2 O1'
_symmetry_space_group_name_H-M 'P 1'
_symmetry_Int_Tables_number 1
_cell_length_a 6.015
_cell_length_b 3.888
_cell_length_c 6.015
_cell_angle_alpha 90.00
_cell_angle_beta 90.00
_cell_angle_gamma 90.00
loop_
_symmetry_equiv_pos_as_xyz
'x,y,z'
loop_
_atom_site_label
_atom_site_fract_x
_atom_site_fract_y
_atom_site_fract_z
Te1 0.500 0.000 0.000
Te2 0.000 0.000 0.500
O1 0.000 0.500 0.000
In1 0.000 0.000 0.000
Ga1 0.500 0.500 0.500
```

Values from the calculation:
Energy: -3.46 eV/atom
Volume: 141 Å³/cell
Theoretical density: 5.380 g/cm³
Energy relative to the elements, uncorrected: -0.057 eV/atom

---

Record order is preserved below.
Magnetic moment: 4.50 0.00 μB/cell